Entry 1:
Entry from Alexandria via LeMat-Bulk: a relaxed structure of HoSc4Ga4 (PBE).

Structure (CIF):
```
data_HoSc4Ga4
_chemical_formula_sum 'Ho2 Sc8 Ga8'
_cell_length_a 8.802
_cell_length_b 8.802
_cell_length_c 5.535
_cell_angle_alpha 90.00
_cell_angle_beta 90.00
_cell_angle_gamma 90.00
_symmetry_space_group_name_H-M 'P 42/n'
_symmetry_Int_Tables_number 86
loop_
_symmetry_equiv_pos_as_xyz
'x,y,z'
'-x,-y,-z'
'-y,x+1/2,z+1/2'
'y,-x+1/2,-z+1/2'
'-x+1/2,-y+1/2,z'
'x+1/2,y+1/2,-z'
'y+1/2,-x,z+1/2'
'-y+1/2,x,-z+1/2'
loop_
_atom_site_label
_atom_site_fract_x
_atom_site_fract_y
_atom_site_fract_z
Ho1 0.250 0.250 0.250
Sc1 0.085 0.650 0.131
Ga1 0.035 0.611 0.633
```

Computed properties:
- calculated formation energy (kJ per mole of atoms) = -31
- size of the total moment (μB per formula unit) = 0.00
- DFT total energy (eV per cell) = -89.9
- crystal system = tetragonal

=====

Entry 2:
Entry from Alexandria via LeMat-Bulk: a relaxed structure of Ho3ScGa3 (PBE).

Structure (CIF):
```
data_Ho3ScGa3
_chemical_formula_sum 'Ho6 Sc2 Ga6'
_cell_length_a 8.8794
_cell_length_b 8.8794
_cell_length_c 4.8186
_cell_angle_alpha 90.00
_cell_angle_beta 90.00
_cell_angle_gamma 120.00
_symmetry_space_group_name_H-M 'P 63/m'
_symmetry_Int_Tables_number 176
_symmetry_space_group_name_Hall '-P 6c'
loop_
_atom_site_label
_atom_site_fract_x
_atom_site_fract_y
_atom_site_fract_z
Ho1 0.0067 0.7569 0.2500
Sc1 0.3333 0.6667 0.7500
Ga1 0.0574 0.4491 0.2500
```

Computed properties:
- calculated formation energy (kJ per mole of atoms) = -35
- size of the total moment (μB per formula unit) = 0.00
- DFT total energy (eV per cell) = -63.3
- crystal system = hexagonal

=====

Entry 3:
Entry from Alexandria via LeMat-Bulk: a relaxed structure of Ho5Sc2Ga5 (PBE).

Structure (CIF):
```
data_Ho5Sc2Ga5
_chemical_formula_sum 'Ho10 Sc4 Ga10'
_cell_length_a 11.200
_cell_length_b 4.502
_cell_length_c 12.758
_cell_angle_alpha 90.00
_cell_angle_beta 115.86
_cell_angle_gamma 90.00
_symmetry_space_group_name_H-M 'C 1 2/m 1'
_symmetry_Int_Tables_number 12
loop_
_symmetry_equiv_pos_as_xyz
'x,y,z'
'-x,-y,-z'
'-x,y,-z'
'x,-y,z'
'x+1/2,y+1/2,z'
'-x+1/2,-y+1/2,-z'
'-x+1/2,y+1/2,-z'
'x+1/2,-y+1/2,z'
loop_
_atom_site_label
_atom_site_fract_x
_atom_site_fract_y
_atom_site_fract_z
Ho1 0.000 0.000 0.000
Ho2 0.088 0.500 0.804
Ho3 0.138 0.500 0.477
Sc1 0.240 0.000 0.712
Ga1 0.000 0.000 0.500
Ga2 0.109 0.000 0.292
Ga3 0.227 0.500 0.057
```

Computed properties:
- calculated formation energy (kJ per mole of atoms) = -39
- size of the total moment (μB per formula unit) = 0.00
- DFT total energy (eV per cell) = -111.2
- crystal system = monoclinic